A plane-wave DFT calculation with PBE-GGA was carried out for TbCeIn3 after structural relaxation.

Lattice parameters (Å, degrees): 5.9775 5.9775 11.7825 104.69 104.69 90.00
Last column: magnetic moment on the atom in μB.
Positions (direct):
Ce (0.6871, 0.1871, 0.3742)  0.75
Ce (0.8129, 0.3129, 0.6258)  0.75
In (0.7497, 0.7497, 0.4993)  -0.01
In (0.2503, 0.2503, 0.5007)  -0.01
In (0.6248, 0.8773, 0.7545)  0.00
In (0.1227, 0.8703, 0.2455)  0.00
In (0.1227, 0.3752, 0.2455)  0.00
In (0.1297, 0.8773, 0.7545)  0.00
Tb (0.2500, 0.7500, 0.5000)  -0.01
Tb (0.0000, 0.0000, 0.0000)  -0.02

As for the magnetic moment: 0.79 μB/f.u. The volume comes out at 39.30 A^3/atom. The calculation puts the mass density at 5.44 g/cm³. The value obtained for the total energy is -36.29 eV for the cell shown. The value obtained for the formation enthalpy at 0 K is 12 kJ/mol of atoms. Its crystal system is tetragonal.